CrCu2O2 GGA+U optimized geometry; total energy = -5.282 eV per atom; volume = 59.4 Å³/f.u.; energy above the lowest structure with this stoichiometry = 0.0000 eV per atom; magnetization = 8.98 Bohr magnetons per cell
1.0
3.896 0.000 0.000
0.000 3.896 0.000
0.000 0.000 7.826
Cr Cu O
2 4 4
Direct
0.000 0.000 0.000
0.500 0.500 0.500
0.000 0.000 0.333
0.000 0.000 0.667
0.500 0.500 0.167
0.500 0.500 0.833
0.000 0.500 0.250
0.000 0.500 0.750
0.500 0.000 0.250
0.500 0.000 0.750